# Na5Sr2 | Alexandria | PBE | optimized geometry
data_Na5Sr2
_chemical_formula_sum 'Na10 Sr4'
_space_group_name_H-M_alt 'P 1'
_space_group_IT_number 1
_cell_length_a 10.179
_cell_length_b 10.179
_cell_length_c 10.179
_cell_angle_alpha 121.44
_cell_angle_beta 74.70
_cell_angle_gamma 137.93
loop_
_space_group_symop_operation_xyz
'x,y,z'
loop_
_atom_site_label
_atom_site_fract_x
_atom_site_fract_y
_atom_site_fract_z
_atom_site_occupancy
Na1 0.035 0.250 0.785 1
Na2 0.156 0.725 0.881 1
Na3 0.250 0.250 0.000 1
Na4 0.344 0.225 0.570 1
Na5 0.465 0.250 0.215 1
Na6 0.535 0.750 0.785 1
Na7 0.656 0.775 0.430 1
Na8 0.750 0.750 0.000 1
Na9 0.844 0.275 0.119 1
Na10 0.965 0.750 0.215 1
Sr1 0.085 0.342 0.427 1
Sr2 0.415 0.842 0.257 1
Sr3 0.585 0.158 0.743 1
Sr4 0.915 0.658 0.573 1
# * symmetry: Ibam, No. 72
# * total DFT energy (no corrections): -9.79 eV per formula unit